Record 1
The following is a meta-GGA SCAN calculation of a crystal of HgP2Pb relaxed with PBEsol, from Alexandria via LeMat-Bulk.

abc: 3.7354 3.7354 6.1952
angles: 90.00 90.00 90.00
Sites, in units of the cell vectors:
Hg  0.5000  0.5000  0.5000
P  0.0000  0.0000  0.6790
P  0.0000  0.0000  0.3210
Pb  0.5000  0.5000  0.0000

The total energy comes out at -162.8 eV/cell. The calculation puts the polymorph energy (0 for the lowest one) at 0.275 eV per atom. Its formation energy is 0.48 eV per atom.


Record 2
The following is a meta-GGA SCAN calculation of a crystal of InNi2Au2 relaxed with PBEsol, from Alexandria via LeMat-Bulk.

abc: 3.6233 6.5046 6.5046
angles: 90.00 90.00 90.00
Sites, in units of the cell vectors:
Ni  0.0000  0.3715  0.8715
Ni  0.0000  0.8715  0.6285
Ni  0.0000  0.6285  0.1285
Ni  0.0000  0.1285  0.3715
Au  0.5000  0.1643  0.6643
Au  0.5000  0.6643  0.8357
Au  0.5000  0.8357  0.3357
Au  0.5000  0.3357  0.1643
In  0.0000  0.0000  0.0000
In  0.0000  0.5000  0.5000

The total energy comes out at -408.1 eV/cell. The calculation puts the polymorph energy (0 for the lowest one) at 0.000 eV per atom. Its formation energy is 0.00 eV per atom.


Record 3
The following is a meta-GGA SCAN calculation of a crystal of In2HgW relaxed with PBEsol, from Alexandria via LeMat-Bulk.

abc: 2.9207 5.2172 5.2172
angles: 90.00 90.00 90.00
Sites, in units of the cell vectors:
Hg  0.5000  0.0000  0.0000
In  0.0000  0.0000  0.5000
In  0.0000  0.5000  0.0000
W  0.5000  0.5000  0.5000

The total energy comes out at -202.3 eV/cell. Its formation energy is 0.57 eV per atom.


Record 4
The following is a meta-GGA SCAN calculation of a crystal of LaZnRe2 relaxed with PBEsol, from Alexandria via LeMat-Bulk.

abc: 2.8821 5.0876 5.5046
angles: 116.36 103.29 93.96
Sites, in units of the cell vectors:
La  0.0000  0.5000  0.0000
Re  0.0000  0.0000  0.5000
Re  0.5000  0.5000  0.5000
Zn  0.5000  0.0000  0.0000

The total energy comes out at -196.1 eV/cell. Its formation energy is 0.68 eV per atom.


Record 5
The following is a meta-GGA SCAN calculation of a crystal of Y2ZrMo relaxed with PBEsol, from Alexandria via LeMat-Bulk.

abc: 4.9563 5.0544 4.9563
angles: 119.36 90.00 119.36
Sites, in units of the cell vectors:
Mo  0.2500  0.5000  0.7500
Y  0.0000  0.0000  0.0000
Y  0.7500  0.5000  0.2500
Zr  0.5000  0.0000  0.5000

The total energy comes out at -119.8 eV/cell. The calculation puts the polymorph energy (0 for the lowest one) at 0.000 eV per atom. Its formation energy is 0.36 eV per atom.


Record 6
The following is a meta-GGA SCAN calculation of a crystal of LiFeP2Au relaxed with PBEsol, from Alexandria via LeMat-Bulk.

abc: 4.1691 4.1691 4.4532
angles: 90.00 90.00 90.00
Last column: magnetic moment on the atom in μB.
Sites, in units of the cell vectors:
P  0.0000  0.5000  0.0000  -0.10
P  0.5000  0.0000  0.0000  -0.10
Au  0.0000  0.0000  0.5000  -0.07
Fe  0.5000  0.5000  0.5000  3.21
Li  0.0000  0.0000  0.0000  0.01

The total energy comes out at -106.4 eV/cell. Its formation energy is 0.82 eV per atom.